DFT (PBE) results for crystalline Cs2CdRuO4 at its relaxed geometry.

Results
Uncorrected formation energy in eV per atom: -1.025
N(E_F) in states/eV/cell: 4.4
Final energy in eV for the cell shown: -79.87

Cell: 6.5565 6.5565 7.8501 Å, 90.00 90.00 90.00°
Space group I-4 (No. 82)
Inequivalent atoms, fractional coordinates:
Cs (0.0000, 0.0000, 0.0000) (multiplicity 2)
Cs (0.0000, 0.5000, 0.2500) (multiplicity 2)
Cd (0.0000, 0.5000, 0.7500) (multiplicity 2)
Ru (0.0000, 0.0000, 0.5000) (multiplicity 2)
O (0.1266, 0.2260, 0.6070) (multiplicity 8)